{"formula": "Na4NiO4", "functional": "PBEsol", "state": "relaxed", "lattice": [[5.6483, -0.0007, 0.0144], [2.0964, 5.2751, 0.0077], [1.4141, 2.3667, 8.1349]], "species": ["Na", "Na", "Na", "Na", "Na", "Na", "Na", "Na", "Ni", "Ni", "O", "O", "O", "O", "O", "O", "O", "O"], "frac_coords": [[0.7690, 0.0217, 0.9277], [0.2585, 0.5506, 0.8960], [0.2310, 0.9783, 0.0723], [0.7415, 0.4494, 0.1040], [0.7413, 0.9101, 0.3215], [0.2412, 0.7338, 0.4847], [0.7588, 0.2662, 0.5153], [0.2587, 0.0899, 0.6785], [0.2189, 0.3453, 0.2539], [0.7811, 0.6547, 0.7461], [0.5250, 0.7914, 0.8875], [0.9834, 0.3307, 0.8588], [0.0166, 0.6693, 0.1412], [0.4750, 0.2086, 0.1125], [0.0254, 0.1312, 0.3039], [0.3647, 0.3402, 0.4254], [0.9746, 0.8688, 0.6961], [0.6353, 0.6598, 0.5746]], "space_group": "P-1 (2)", "rho_g_cm3": 2.943}

---

{"formula": "NaNi2O3", "functional": "PBEsol", "state": "relaxed", "lattice": [[-2.3281, 1.7754, 0.1590], [0.1724, -2.3514, 1.7431], [3.5109, 4.1354, 5.2315]], "species": ["Ni", "Ni", "O", "O", "O", "Na"], "frac_coords": [[0.6667, 0.3333, 0.3381], [0.3333, 0.6667, 0.6619], [0.6667, 0.3333, 0.7889], [0.0000, 0.0000, 0.5000], [0.3333, 0.6667, 0.2111], [0.0000, 0.0000, 0.0000]], "space_group": "P-3m1 (164)", "rho_g_cm3": 5.575}

---

no.,calculated total energy (eV/atom)
1,-4.778
2,-5.844